Density functional theory data (PBE-GGA) for ZnSbTe2C after structural relaxation.

Calculated values
Uncorrected energy ... -0.088 hartree per atom
Fermi-level density of states ... 5.7 states/eV per cell
Energy relative to the elements, uncorrected ... 1784 meV per atom

The structure in POSCAR format:
```
ZnSbTe2C
1.0
5.318 0.000 0.000
0.000 5.318 0.000
0.000 0.000 5.147
Zn Sb Te C
1 1 2 1
Cartesian
0.000 0.000 0.000 Zn
0.000 0.000 2.574 Sb
0.000 2.659 0.000 Te
2.659 0.000 0.000 Te
2.659 2.659 2.574 C
```